Record 1
{
  "formula": "Zr2CuAu",
  "functional": "PBEsol",
  "state": "relaxed",
  "n_ef_per_ev_cell": 3.990,
  "spacegroup": "Cmmm (65)",
  "cell": [[2.945, -4.015, 0.000], [2.945, 4.015, 0.000], [0.000, 0.000, 3.014]],
  "species": ["Zr", "Zr", "Cu", "Au"],
  "fractional_positions": [[0.000, 0.500, 0.000], [0.500, 0.000, 0.000], [0.000, 0.000, 0.500], [0.500, 0.500, 0.500]]
}

***

Record 2
{
  "formula": "Sn2Sb2Pb",
  "functional": "PBEsol",
  "state": "relaxed",
  "n_ef_per_ev_cell": 6.019,
  "de_polymorph_ev_per_fu": 0.00,
  "spacegroup": "P4/mbm (127)",
  "formation_energy_uncorrected_ev_per_atom": 0.062,
  "cell": [[8.517, 0.000, 0.000], [0.000, 8.517, 0.000], [0.000, 0.000, 3.874]],
  "species": ["Sn", "Sn", "Sn", "Sn", "Sb", "Sb", "Sb", "Sb", "Pb", "Pb"],
  "fractional_positions": [[0.147, 0.353, 0.000], [0.353, 0.853, 0.000], [0.647, 0.147, 0.000], [0.853, 0.647, 0.000], [0.150, 0.650, 0.500], [0.350, 0.150, 0.500], [0.650, 0.850, 0.500], [0.850, 0.350, 0.500], [0.000, 0.000, 0.500], [0.500, 0.500, 0.500]]
}

***

Record-wise magnetization values, in μB/atom: 0.00, 0.00
Record-wise raw total energy values, in Ha/atom: -0.2535, -0.1567